First-principles (PBE-GGA) data for a relaxed structure of Er6Ni2Ru, as listed in the Alexandria database.

abc: 6.3826 7.1096 11.5365
angles: 90.00 122.67 90.00
Closest atoms and distances in Å follow each position.
Fractional positions:
Er (0.0884, 0.0446, 0.2466)  1 Ru 2.69, 2 Ni 2.74-2.78
Er (0.0884, 0.4554, 0.7466)  1 Ru 2.69, 2 Ni 2.74-2.78
Er (0.2274, 0.6765, 0.0745)  1 Ru 2.64, 2 Ni 2.82-2.89
Er (0.2274, 0.8235, 0.5745)  1 Ru 2.64, 2 Ni 2.82-2.89
Er (0.3925, 0.1717, 0.0706)  1 Ru 2.68, 2 Ni 2.79-2.88
Er (0.3925, 0.3283, 0.5706)  1 Ru 2.68, 2 Ni 2.79-2.88
Er (0.6075, 0.6717, 0.4294)  1 Ru 2.68, 2 Ni 2.79-2.88
Er (0.6075, 0.8283, 0.9294)  1 Ru 2.68, 2 Ni 2.79-2.88
Er (0.7726, 0.1765, 0.4255)  1 Ru 2.64, 2 Ni 2.82-2.89
Er (0.7726, 0.3235, 0.9255)  1 Ru 2.64, 2 Ni 2.82-2.89
Er (0.9116, 0.5446, 0.2534)  1 Ru 2.69, 2 Ni 2.74-2.78
Er (0.9116, 0.9554, 0.7534)  1 Ru 2.69, 2 Ni 2.74-2.78
Ni (0.3102, 0.1207, 0.7569)  6 Er 2.74-2.89
Ni (0.3102, 0.3793, 0.2569)  6 Er 2.74-2.89
Ni (0.6898, 0.6207, 0.7431)  6 Er 2.74-2.89
Ni (0.6898, 0.8793, 0.2431)  6 Er 2.74-2.89
Ru (0.5000, 0.0000, 0.5000)  6 Er 2.64-2.69
Ru (0.5000, 0.5000, 0.0000)  6 Er 2.64-2.69

Results
* total magnetization: 0.0000 μB per atom
* ΔE to the lowest computed polymorph: 0.057 eV/atom
* calculated total energy: -5.6399 eV/atom
* SG: No. 14
* ΔH_f (0 K): -0.283 eV per atom

---

First-principles (PBE-GGA) data for a relaxed structure of Ba2LaAgSb, as listed in the Alexandria database.

abc: 6.4763 6.4763 5.3760
angles: 90.00 90.00 90.00
Closest atoms and distances in Å follow each position.
Fractional positions:
Ba (0.0000, 0.5000, 0.0000)  2 La 3.24
Ba (0.5000, 0.0000, 0.0000)  2 La 3.24
La (0.0000, 0.0000, 0.0000)  2 Ag 2.69
Ag (0.0000, 0.0000, 0.5000)  2 La 2.69
Sb (0.5000, 0.5000, 0.5000)  8 Ba 4.21, 4 Ag 4.58

Results
* total magnetization: 0.2681 μB per atom
* calculated total energy: -2.6449 eV/atom
* SG: No. 123
* E_form (uncorrected): 0.504 eV/atom

---

First-principles (PBE-GGA) data for a relaxed structure of TlP2Au, as listed in the Alexandria database.

abc: 7.1888 7.1888 7.1888
angles: 154.09 147.35 42.14
Closest atoms and distances in Å follow each position.
Fractional positions:
Tl (0.0000, 0.0000, 0.0000)  2 Au 3.06, 4 P 3.19, 2 Tl 3.22
P (0.6394, 0.6394, 0.0000)  2 P 2.22
P (0.7533, 0.2533, 0.5000)  2 P 2.22
Au (0.3290, 0.8290, 0.5000)  4 P 2.78, 2 Tl 3.06

Results
* total magnetization: 0.0000 μB per atom
* ΔE to the lowest computed polymorph: 0.243 eV/atom
* calculated total energy: -3.9027 eV/atom
* SG: No. 44
* ΔH_f (0 K): 0.213 eV per atom

---

First-principles (PBE-GGA) data for a relaxed structure of RbMoAs2, as listed in the Alexandria database.

abc: 3.2468 3.2468 8.2114
angles: 90.00 90.00 90.00
Closest atoms and distances in Å follow each position.
Fractional positions:
Rb (0.0000, 0.0000, 0.0000)  4 Rb 3.25, 8 As 3.51
Mo (0.0000, 0.0000, 0.5000)  8 As 2.71
As (0.5000, 0.5000, 0.3239)  4 Mo 2.71, 1 As 2.89
As (0.5000, 0.5000, 0.6761)  4 Mo 2.71, 1 As 2.89

Results
* total magnetization: 0.0000 μB per atom
* ΔE to the lowest computed polymorph: 0.000 eV/atom
* calculated total energy: -5.4235 eV/atom
* SG: No. 123
* ΔH_f (0 K): -0.149 eV per atom

---

First-principles (PBE-GGA) data for a relaxed structure of Tb2Dy3Tm6Sc, as listed in the Alexandria database.

abc: 6.0498 6.0498 11.5835
angles: 94.99 94.99 119.95
Closest atoms and distances in Å follow each position.
Fractional positions:
Tb (0.1665, 0.8335, 0.0000)  6 Tm 3.48, 3 Tb 3.49-3.50, 3 Sc 3.49
Tb (0.8335, 0.1665, 0.0000)  6 Tm 3.48, 3 Tb 3.49-3.50, 3 Sc 3.49
Dy (0.0000, 0.0000, 0.5000)  6 Dy 3.49, 6 Tm 3.51
Dy (0.3336, 0.6664, 0.5000)  6 Dy 3.49-3.50, 6 Tm 3.51-3.52
Dy (0.6664, 0.3336, 0.5000)  6 Dy 3.49-3.50, 6 Tm 3.51-3.52
Tm (0.0869, 0.4179, 0.7520)  1 Sc 3.47, 6 Tm 3.47-3.51, 2 Tb 3.48, 3 Dy 3.51-3.52
Tm (0.2511, 0.2511, 0.2483)  6 Tm 3.47-3.51, 1 Sc 3.47, 2 Tb 3.48, 3 Dy 3.51
Tm (0.4179, 0.0869, 0.7520)  1 Sc 3.47, 6 Tm 3.47-3.51, 2 Tb 3.48, 3 Dy 3.51-3.52
Tm (0.5821, 0.9131, 0.2480)  1 Sc 3.47, 6 Tm 3.47-3.51, 2 Tb 3.48, 3 Dy 3.51-3.52
Tm (0.7489, 0.7489, 0.7517)  6 Tm 3.47-3.51, 1 Sc 3.47, 2 Tb 3.48, 3 Dy 3.51
Tm (0.9131, 0.5821, 0.2480)  1 Sc 3.47, 6 Tm 3.47-3.51, 2 Tb 3.48, 3 Dy 3.51-3.52
Sc (0.5000, 0.5000, 0.0000)  6 Tm 3.47, 6 Tb 3.49

Results
* total magnetization: 0.0000 μB per atom
* calculated total energy: -4.6562 eV/atom
* SG: No. 12
* ΔH_f (0 K): 0.029 eV per atom

---

First-principles (PBE-GGA) data for a relaxed structure of Al2H3Pd8, as listed in the Alexandria database.

abc: 6.9973 6.9973 4.6946
angles: 106.62 106.62 49.15
Closest atoms and distances in Å follow each position.
Fractional positions:
Al (0.2480, 0.2480, 0.0186)  8 Pd 2.50-2.77
Al (0.7520, 0.7520, 0.9814)  8 Pd 2.50-2.77
H (0.1750, 0.8250, 0.5000)  2 Pd 1.74
H (0.5000, 0.5000, 0.0000)  6 Pd 2.00-2.15
H (0.8250, 0.1750, 0.5000)  2 Pd 1.74
Pd (0.1315, 0.1315, 0.4104)  2 H 2.11
Pd (0.1727, 0.6661, 0.1410)  1 H 1.74
Pd (0.3339, 0.8273, 0.8590)  1 H 1.74
Pd (0.3594, 0.3594, 0.6003)  1 H 2.15
Pd (0.6406, 0.6406, 0.3997)  1 H 2.15
Pd (0.6661, 0.1727, 0.1410)  1 H 1.74
Pd (0.8273, 0.3339, 0.8590)  1 H 1.74
Pd (0.8685, 0.8685, 0.5896)  2 H 2.11

Results
* total magnetization: 0.0000 μB per atom
* calculated total energy: -4.8495 eV/atom
* SG: No. 12